(1)
Compound: BaZnCdPt2
Source: OQMD via LeMat-Bulk
Functional: PBE
Structure: relaxed

abc: 6.612 6.612 6.612
angles: 140.56 140.56 57.00
Fractional coordinates of all 5 atoms:
Ba (0.000, 0.000, 0.000)
Zn (0.250, 0.750, 0.500)
Cd (0.750, 0.250, 0.500)
Pt (0.386, 0.386, 0.000)
Pt (0.614, 0.614, 0.000)

=====

(2)
Compound: SmDyTm
Source: OQMD via LeMat-Bulk
Functional: PBE
Structure: relaxed

abc: 8.791 8.791 6.176
angles: 96.73 96.73 23.41
Fractional coordinates of all 6 atoms:
Sm (0.249, 0.249, 0.251)
Sm (0.751, 0.751, 0.749)
Dy (0.082, 0.082, 0.860)
Dy (0.918, 0.918, 0.140)
Tm (0.418, 0.418, 0.639)
Tm (0.582, 0.582, 0.361)

Values from the calculation:
Its formation energy is -0.005 eV/atom. The calculation puts the energy above the lowest structure with this stoichiometry at 0 meV per atom.

=====

(3)
Compound: Zr2Sc2C3
Source: OQMD via LeMat-Bulk
Functional: PBE
Structure: relaxed

abc: 6.337 6.337 5.679
angles: 115.87 115.87 30.88
Fractional coordinates of all 7 atoms:
Zr (0.131, 0.131, 0.455)
Zr (0.869, 0.869, 0.545)
Sc (0.370, 0.370, 0.020)
Sc (0.630, 0.630, 0.980)
C (0.000, 0.000, 0.000)
C (0.267, 0.267, 0.279)
C (0.733, 0.733, 0.721)

=====

Number 1: theoretical density 10.124 g/cm3, E -19.0 eV for the cell shown, volume 116 Å³/cell. Number 2: theoretical density 8.498 g/cm3, E -27.6 eV for the cell shown, volume 188 Å³/cell. Number 3: theoretical density 4.908 g/cm3, E -61.0 eV for the cell shown, volume 104 Å³/cell.